DFT (PBE) results for BaZrTe after structural relaxation.

a b c (Å): 3.890 3.890 13.037
angles (deg): 90.00 90.00 90.00
Atoms (fractional coordinates):
1 Ba 0.000 0.000 0.000
2 Ba 0.500 0.500 0.500
3 Zr 0.000 0.000 0.702
4 Zr 0.500 0.500 0.202
5 Te 0.000 0.000 0.290
6 Te 0.500 0.500 0.790

Computed properties:
Formation energy from raw total energies   -449.8 meV/atom